Record 1
Compound: Ca2Ni7P4
Source: Alexandria via LeMat-Bulk
Functional: meta-GGA SCAN
Structure: PBEsol geometry

Unit cell a=3.6359 b=9.0760 c=10.2340 alpha=90.00 beta=90.00 gamma=90.00
With the nearest neighbours (Å) after each atom.
Space group Pmn2_1 (No. 31)
Symmetry-distinct sites (fractional):
Ca1 0.0000 0.0602 0.0000 (multiplicity 2)  6 P 2.79-2.85, 9 Ni 2.90-3.10
Ca2 0.0000 0.4387 0.7825 (multiplicity 2)  5 P 2.90-2.99, 11 Ni 2.93-3.22
Ni1 0.0000 0.0595 0.3058 (multiplicity 2)  4 P 2.25-2.35, 1 Ni 2.45
Ni2 0.0000 0.0957 0.7013 (multiplicity 2)  4 P 2.23-2.33
Ni3 0.0000 0.3047 0.2058 (multiplicity 2)  3 P 2.15-2.27
Ni4 0.0000 0.4156 0.4765 (multiplicity 2)  3 P 2.14-2.24
Ni5 0.0000 0.6843 0.5185 (multiplicity 2)  4 P 2.27-2.38, 1 Ni 2.48
Ni6 0.0000 0.7279 0.1134 (multiplicity 2)  4 P 2.22-2.33, 1 Ni 2.41
Ni7 0.0000 0.7476 0.8784 (multiplicity 2)  3 P 2.13-2.28
P1 0.0000 0.1806 0.4971 (multiplicity 2)  7 Ni 2.14-2.33
P2 0.0000 0.4781 0.0632 (multiplicity 2)  6 Ni 2.15-2.38
P3 0.0000 0.8120 0.3175 (multiplicity 2)  5 Ni 2.22-2.36
P4 0.0000 0.8441 0.6885 (multiplicity 2)  7 Ni 2.13-2.35

* total DFT energy (no corrections): -368.4 eV per cell
* energy relative to the elements: -0.773 eV/atom

Record 2
Compound: CaNi2P
Source: Alexandria via LeMat-Bulk
Functional: meta-GGA SCAN
Structure: PBEsol geometry

Unit cell a=3.8612 b=3.8612 c=9.6159 alpha=90.00 beta=90.00 gamma=120.00
With the nearest neighbours (Å) after each atom.
Space group P6_3/mmc (No. 194)
Symmetry-distinct sites (fractional):
Ca1 0.3333 0.6667 0.2500 (multiplicity 2)  8 Ni 2.83-2.98
Ni1 0.3333 0.6667 0.5447 (multiplicity 4)  3 P 2.27, 3 Ni 2.39
P1 0.0000 0.0000 0.0000 (multiplicity 2)  6 Ni 2.27

* total DFT energy (no corrections): -110.0 eV per cell
* energy relative to the elements: -0.654 eV/atom

Record 3
Compound: CaNi2P
Source: Alexandria via LeMat-Bulk
Functional: meta-GGA SCAN
Structure: PBEsol geometry

Unit cell a=3.0752 b=3.0752 c=6.2231 alpha=90.00 beta=90.00 gamma=90.00
With the nearest neighbours (Å) after each atom.
Space group P4mm (No. 99)
Symmetry-distinct sites (fractional):
Ca1 0.0000 0.0000 0.0000 (multiplicity 1)  5 Ni 2.91-2.95, 4 P 3.03, 4 Ca 3.08
Ni1 0.0000 0.0000 0.5262 (multiplicity 1)  4 P 2.33, 4 Ni 2.55
Ni2 0.5000 0.5000 0.3118 (multiplicity 1)  1 P 2.17
P1 0.5000 0.5000 0.6608 (multiplicity 1)  5 Ni 2.17-2.33

* total DFT energy (no corrections): -53.3 eV per cell
* energy relative to the elements: -0.224 eV/atom

Record 4
Compound: CaNiP4
Source: Alexandria via LeMat-Bulk
Functional: meta-GGA SCAN
Structure: PBEsol geometry

Unit cell a=7.1875 b=7.1875 c=7.1875 alpha=90.00 beta=90.00 gamma=90.00
With the nearest neighbours (Å) after each atom.
Space group F-43m (No. 216)
Symmetry-distinct sites (fractional):
Ca1 0.0000 0.0000 0.0000 (multiplicity 4)  12 P 3.00, 4 Ni 3.11
Ni1 0.2500 0.2500 0.2500 (multiplicity 4)  12 P 2.97, 4 Ca 3.11
P1 0.1176 0.1176 0.6176 (multiplicity 16)  3 P 2.39

* total DFT energy (no corrections): -262.8 eV per cell
* energy relative to the elements: 0.287 eV/atom

Record 5
Compound: Ca2NiP
Source: Alexandria via LeMat-Bulk
Functional: meta-GGA SCAN
Structure: PBEsol geometry

Unit cell a=4.0602 b=4.2625 c=9.7280 alpha=90.00 beta=90.00 gamma=90.00
With the nearest neighbours (Å) after each atom.
Space group Amm2 (No. 38)
Symmetry-distinct sites (fractional):
Ca1 0.0000 0.0000 0.0000 (multiplicity 2)  3 Ni 2.81-3.04, 4 P 3.09
Ca2 0.5000 0.0000 0.2897 (multiplicity 2)  3 P 2.84-2.98, 4 Ni 3.11
Ni1 0.0000 0.0000 0.6879 (multiplicity 2)  2 P 2.22
P1 0.5000 0.0000 0.5961 (multiplicity 2)  2 Ni 2.22

* total DFT energy (no corrections): -97.7 eV per cell
* energy relative to the elements: -0.740 eV/atom

Record 6
Compound: CaNiPb
Source: Alexandria via LeMat-Bulk
Functional: meta-GGA SCAN
Structure: PBEsol geometry

Unit cell a=3.4433 b=3.4433 c=10.8550 alpha=90.00 beta=90.00 gamma=90.00
With the nearest neighbours (Å) after each atom.
Space group I4mm (No. 107)
Symmetry-distinct sites (fractional):
Ca1 0.0000 0.0000 0.0000 (multiplicity 2)  5 Ni 3.12-3.48, 5 Pb 3.14-3.34, 4 Ca 3.44
Ni1 0.0000 0.0000 0.6795 (multiplicity 2)  4 Pb 2.71
Pb1 0.0000 0.0000 0.2894 (multiplicity 2)  4 Ni 2.71

* total DFT energy (no corrections): -204.0 eV per cell
* energy relative to the elements: -0.133 eV/atom

Record 7
Compound: CaNiSbPb2
Source: Alexandria via LeMat-Bulk
Functional: meta-GGA SCAN
Structure: PBEsol geometry

Unit cell a=4.9742 b=4.9742 c=5.2863 alpha=90.00 beta=90.00 gamma=90.00
With the nearest neighbours (Å) after each atom.
Space group P4/mmm (No. 123)
Symmetry-distinct sites (fractional):
Ca1 0.0000 0.0000 0.0000 (multiplicity 1)  2 Ni 2.64
Ni1 0.0000 0.0000 0.5000 (multiplicity 1)  4 Pb 2.49, 2 Ca 2.64
Sb1 0.5000 0.5000 0.0000 (multiplicity 1)  4 Ca 3.52, 8 Pb 3.63
Pb1 0.0000 0.5000 0.5000 (multiplicity 2)  2 Ni 2.49

* total DFT energy (no corrections): -215.6 eV per cell
* raw formation energy: -189 meV/atom

Record 8
Compound: CaNiPd2
Source: Alexandria via LeMat-Bulk
Functional: meta-GGA SCAN
Structure: PBEsol geometry

Unit cell a=6.3187 b=6.3187 c=6.3187 alpha=90.00 beta=90.00 gamma=90.00
With the nearest neighbours (Å) after each atom.
Space group Fm-3m (No. 225)
Symmetry-distinct sites (fractional):
Ca1 0.0000 0.0000 0.0000 (multiplicity 4)  8 Pd 2.74
Ni1 0.0000 0.0000 0.5000 (multiplicity 4)  8 Pd 2.74
Pd1 0.2500 0.2500 0.2500 (multiplicity 8)  4 Ca 2.74, 4 Ni 2.74

* total DFT energy (no corrections): -368.3 eV per cell
* energy relative to the elements: -0.175 eV/atom

Record 9
Compound: SrCa2NiPd
Source: Alexandria via LeMat-Bulk
Functional: meta-GGA SCAN
Structure: PBEsol geometry

Unit cell a=6.0534 b=6.0534 c=4.8684 alpha=90.00 beta=90.00 gamma=90.00
With the nearest neighbours (Å) after each atom.
Space group P4/mmm (No. 123)
Symmetry-distinct sites (fractional):
Sr1 0.0000 0.0000 0.0000 (multiplicity 1)  2 Pd 2.43
Ca1 0.0000 0.5000 0.0000 (multiplicity 2)  2 Sr 3.03
Ni1 0.5000 0.5000 0.5000 (multiplicity 1)  8 Ca 3.88, 4 Pd 4.28
Pd1 0.0000 0.0000 0.5000 (multiplicity 1)  2 Sr 2.43

* total DFT energy (no corrections): -84.1 eV per cell
* energy relative to the elements: 1.299 eV/atom

Record 10
Compound: CaNiPt
Source: Alexandria via LeMat-Bulk
Functional: meta-GGA SCAN
Structure: PBEsol geometry

Unit cell a=2.9497 b=2.9497 c=6.5383 alpha=90.00 beta=90.00 gamma=120.00
With the nearest neighbours (Å) after each atom.
Space group P3m1 (No. 156)
Symmetry-distinct sites (fractional):
Ca1 0.0000 0.0000 0.0000 (multiplicity 1)  3 Ni 2.78, 3 Pt 2.89, 6 Ca 2.95
Ni1 0.3333 0.6667 0.6635 (multiplicity 1)  3 Pt 2.63, 3 Ca 2.78
Pt1 0.6667 0.3333 0.3564 (multiplicity 1)  3 Ni 2.63, 3 Ca 2.89

* total DFT energy (no corrections): -95.3 eV per cell
* energy relative to the elements: 0.241 eV/atom

Record 11
Compound: CaNi2Pt
Source: Alexandria via LeMat-Bulk
Functional: meta-GGA SCAN
Structure: PBEsol geometry

Unit cell a=7.2183 b=4.1679 c=5.2541 alpha=90.00 beta=117.39 gamma=90.00
With the nearest neighbours (Å) after each atom.
Space group C2/m (No. 12)
Symmetry-distinct sites (fractional):
Ca1 0.0000 0.0000 0.0000 (multiplicity 2)  2 Ni 2.65
Ni1 0.1892 0.0000 0.5674 (multiplicity 4)  3 Pt 2.43, 3 Ni 2.49, 1 Ca 2.65
Pt1 0.0000 0.5000 0.5000 (multiplicity 2)  6 Ni 2.43

* total DFT energy (no corrections): -227.5 eV per cell
* energy relative to the elements: -0.389 eV/atom

Record 12
Compound: CaNiPt
Source: Alexandria via LeMat-Bulk
Functional: meta-GGA SCAN
Structure: PBEsol geometry

Unit cell a=2.8926 b=3.8210 c=9.5213 alpha=90.00 beta=90.00 gamma=90.00
With the nearest neighbours (Å) after each atom.
Space group Imm2 (No. 44)
Symmetry-distinct sites (fractional):
Ca1 0.0000 0.0000 0.0000 (multiplicity 2)  1 Ni 2.70, 1 Pt 2.81, 2 Ca 2.89
Ni1 0.0000 0.0000 0.2836 (multiplicity 2)  4 Pt 2.51, 1 Ca 2.70
Pt1 0.0000 0.0000 0.7051 (multiplicity 2)  4 Ni 2.51, 1 Ca 2.81

* total DFT energy (no corrections): -193.9 eV per cell
* energy relative to the elements: -0.310 eV/atom